Record 1
TbY2S2 (PBE, optimized geometry); electronic total energy = -101.40 eV per cell; spin magnetization = 2.0 μB per cell; uncorrected formation energy = -1597.7 meV/atom
1.0
3.844 0.000 0.000
-1.922 3.329 0.000
0.000 0.000 28.555
Tb Y S
3 6 6
direct
0.000 0.000 0.000
0.333 0.667 0.667
0.667 0.333 0.333
0.000 0.000 0.217
0.000 0.000 0.783
0.333 0.667 0.450
0.333 0.667 0.884
0.667 0.333 0.116
0.667 0.333 0.550
0.000 0.000 0.391
0.000 0.000 0.609
0.333 0.667 0.058
0.333 0.667 0.276
0.667 0.333 0.724
0.667 0.333 0.942

---

Record 2
Li5Mo2H12 (PBE, optimized geometry); electronic total energy = -74.67 eV per cell; spin magnetization = 0.0 μB per cell
1.0
5.235 -2.987 0.000
5.235 2.987 0.000
-0.256 0.000 4.940
Li Mo H
5 2 12
direct
0.000 0.000 0.000
0.235 0.235 0.482
0.371 0.371 0.021
0.629 0.629 0.979
0.765 0.765 0.518
0.268 0.732 0.500
0.732 0.268 0.500
0.067 0.067 0.651
0.082 0.692 0.742
0.124 0.571 0.295
0.308 0.918 0.258
0.429 0.876 0.705
0.487 0.487 0.736
0.513 0.513 0.264
0.571 0.124 0.295
0.692 0.082 0.742
0.876 0.429 0.705
0.918 0.308 0.258
0.933 0.933 0.349

---

Record 3
Ba2NaPRh (PBE, optimized geometry); polymorph energy (0 for the lowest one) = 0 meV/atom; electronic total energy = -20.06 eV per cell; spin magnetization = 0.0 μB per cell; calculated formation energy = -0.427 eV/atom
1.0
6.325 0.000 0.000
0.000 6.325 0.000
0.000 0.000 4.428
Ba Na P Rh
2 1 1 1
direct
0.000 0.500 0.000
0.500 0.000 0.000
0.000 0.000 0.500
0.500 0.500 0.000
0.500 0.500 0.500

---

Record 4
CeThAu (PBE, optimized geometry); polymorph energy (0 for the lowest one) = 143 meV/atom; electronic total energy = -17.33 eV per cell; spin magnetization = 0.7 μB per cell; calculated formation energy = -0.231 eV/atom
1.0
4.965 0.000 0.000
-2.482 4.300 0.000
0.000 0.000 3.685
Ce Th Au
1 1 1
direct
0.000 0.000 0.000
0.333 0.667 0.349
0.667 0.333 0.641

---

Record 5
Zr2ReAu (PBE, optimized geometry); polymorph energy (0 for the lowest one) = 662 meV/atom; electronic total energy = -95.47 eV per cell; spin magnetization = 0.0 μB per cell; calculated formation energy = 0.250 eV/atom
1.0
2.928 0.000 0.000
-1.464 2.536 0.000
0.000 0.000 30.834
Zr Re Au
6 3 3
direct
0.000 0.000 0.000
0.000 0.000 0.240
0.333 0.667 0.667
0.333 0.667 0.906
0.667 0.333 0.333
0.667 0.333 0.573
0.000 0.000 0.491
0.333 0.667 0.158
0.667 0.333 0.824
0.000 0.000 0.749
0.333 0.667 0.415
0.667 0.333 0.082

---

Record 6
Sb2SeBr (PBE, optimized geometry); polymorph energy (0 for the lowest one) = 207 meV/atom; electronic total energy = -26.26 eV per cell; spin magnetization = 0.0 μB per cell; uncorrected formation energy = 67.5 meV/atom
1.0
3.619 0.000 0.000
0.000 6.357 0.000
0.000 0.000 9.392
Sb Se Br
4 2 2
direct
0.000 0.000 0.231
0.000 0.000 0.769
0.500 0.500 0.269
0.500 0.500 0.731
0.000 0.500 0.500
0.500 0.000 0.000
0.000 0.500 0.000
0.500 0.000 0.500

---

Record 7
KFe2Os (PBE, optimized geometry); polymorph energy (0 for the lowest one) = 211 meV/atom; electronic total energy = -51.20 eV per cell; spin magnetization = 11.2 μB per cell; calculated formation energy = 0.913 eV/atom
1.0
3.023 0.000 0.000
0.000 4.481 0.000
0.000 0.000 9.949
K Fe Os
2 4 2
direct
0.000 0.000 0.000
0.500 0.500 0.000
0.000 0.500 0.296
0.000 0.500 0.704
0.500 0.000 0.296
0.500 0.000 0.704
0.000 0.000 0.500
0.500 0.500 0.500

---

Record 8
Sc2TaGa (PBE, optimized geometry); electronic total energy = -80.44 eV per cell; spin magnetization = 0.0 μB per cell; calculated formation energy = 0.182 eV/atom
1.0
3.106 0.000 0.000
-1.553 2.690 0.000
0.000 0.000 31.579
Sc Ta Ga
6 3 3
direct
0.000 0.000 0.091
0.000 0.000 0.909
0.333 0.667 0.576
0.333 0.667 0.757
0.667 0.333 0.243
0.667 0.333 0.424
0.000 0.000 0.500
0.333 0.667 0.167
0.667 0.333 0.833
0.000 0.000 0.000
0.333 0.667 0.667
0.667 0.333 0.333

---

Record 9
Ac2RhS (PBE, optimized geometry); polymorph energy (0 for the lowest one) = 0 meV/atom; electronic total energy = -49.95 eV per cell; spin magnetization = 0.0 μB per cell; uncorrected formation energy = -1319.5 meV/atom
1.0
4.277 0.000 0.000
0.000 6.130 0.000
0.000 0.000 9.004
Ac Rh S
4 2 2
direct
0.250 0.250 0.119
0.250 0.250 0.650
0.750 0.750 0.350
0.750 0.750 0.881
0.250 0.750 0.123
0.750 0.250 0.877
0.250 0.750 0.607
0.750 0.250 0.393

---

Record 10
IrAuIO2 (PBE, optimized geometry); polymorph energy (0 for the lowest one) = 1068 meV/atom; electronic total energy = -18.88 eV per cell; spin magnetization = 1.4 μB per cell; uncorrected formation energy = 944.4 meV/atom
1.0
3.845 0.000 0.000
0.000 3.845 0.000
0.000 0.000 8.321
Ir Au I O
1 1 1 2
direct
0.000 0.000 0.000
0.500 0.500 0.500
0.500 0.500 0.000
0.000 0.500 0.500
0.500 0.000 0.500

---

Record 11
CsScSn (PBE, optimized geometry); polymorph energy (0 for the lowest one) = 8 meV/atom; electronic total energy = -46.38 eV per cell; spin magnetization = 0.0 μB per cell; calculated formation energy = -0.135 eV/atom
1.0
9.477 0.000 0.000
0.000 5.366 0.000
0.000 0.000 8.332
Cs Sc Sn
4 4 4
direct
0.018 0.250 0.143
0.482 0.750 0.643
0.518 0.250 0.357
0.982 0.750 0.857
0.134 0.750 0.430
0.366 0.250 0.930
0.634 0.750 0.070
0.866 0.250 0.570
0.174 0.250 0.619
0.326 0.750 0.119
0.674 0.250 0.881
0.826 0.750 0.381

---

Record 12
Pm5Sm2Ru4 (PBE, optimized geometry); electronic total energy = -69.98 eV per cell; spin magnetization = 0.0 μB per cell; calculated formation energy = 0.029 eV/atom
1.0
12.181 -1.767 0.000
12.181 1.767 0.000
-0.065 0.000 7.115
Pm Sm Ru
5 2 4
direct
0.000 0.000 0.000
0.268 0.268 0.291
0.368 0.368 0.843
0.632 0.632 0.157
0.732 0.732 0.709
0.417 0.417 0.369
0.583 0.583 0.631
0.168 0.168 0.459
0.473 0.473 0.699
0.527 0.527 0.301
0.832 0.832 0.541

---

Record 13
CoMoAsSe2 (PBE, optimized geometry); polymorph energy (0 for the lowest one) = 0 meV/atom; electronic total energy = -25.53 eV per cell; spin magnetization = 0.0 μB per cell; uncorrected formation energy = 805.9 meV/atom
1.0
4.587 0.000 0.000
0.000 4.587 0.000
0.000 0.000 4.417
Co Mo As Se
1 1 1 2
direct
0.000 0.000 0.000
0.500 0.500 0.500
0.000 0.000 0.500
0.000 0.500 0.000
0.500 0.000 0.000

---

Record 14
KLiMn2 (PBE, optimized geometry); polymorph energy (0 for the lowest one) = 414 meV/atom; electronic total energy = -17.05 eV per cell; spin magnetization = 8.2 μB per cell; calculated formation energy = 1.076 eV/atom
1.0
5.742 0.000 0.000
0.000 5.742 0.000
0.000 0.000 2.961
K Li Mn
1 1 2
direct
0.000 0.000 0.000
0.500 0.500 0.000
0.000 0.500 0.500
0.500 0.000 0.500

---

Record 15
AcThMgIn (PBE, optimized geometry); electronic total energy = -65.27 eV per cell; spin magnetization = 0.0 μB per cell; calculated formation energy = -0.114 eV/atom
1.0
7.947 0.000 0.000
0.000 7.947 0.000
0.000 0.000 7.947
Ac Th Mg In
4 4 4 4
direct
0.000 0.000 0.000
0.000 0.500 0.500
0.500 0.000 0.500
0.500 0.500 0.000
0.000 0.000 0.500
0.000 0.500 0.000
0.500 0.000 0.000
0.500 0.500 0.500
0.250 0.250 0.750
0.250 0.750 0.250
0.750 0.250 0.250
0.750 0.750 0.750
0.250 0.250 0.250
0.250 0.750 0.750
0.750 0.250 0.750
0.750 0.750 0.250

---

Record 16
AgOsSe2Br (PBE, optimized geometry); polymorph energy (0 for the lowest one) = 0 meV/atom; electronic total energy = -19.95 eV per cell; spin magnetization = 0.0 μB per cell; uncorrected formation energy = 554.9 meV/atom
1.0
4.779 0.000 0.000
0.000 4.779 0.000
0.000 0.000 5.528
Ag Os Se Br
1 1 2 1
direct
0.000 0.000 0.000
0.500 0.500 0.500
0.000 0.500 0.500
0.500 0.000 0.500
0.500 0.500 0.000

---

Record 17
BaMnHgCl4 (PBE, optimized geometry); electronic total energy = -58.60 eV per cell; spin magnetization = 10.0 μB per cell; uncorrected formation energy = -1503.1 meV/atom
1.0
7.547 0.000 0.000
0.000 7.093 0.000
-3.682 0.000 10.027
Ba Mn Hg Cl
2 2 2 8
direct
0.198 0.250 0.445
0.802 0.750 0.555
0.374 0.750 0.699
0.626 0.250 0.301
0.398 0.750 0.013
0.602 0.250 0.987
0.164 0.005 0.684
0.164 0.495 0.684
0.302 0.250 0.193
0.360 0.750 0.466
0.640 0.250 0.534
0.698 0.750 0.807
0.836 0.505 0.316
0.836 0.995 0.316

---

Record 18
HoPa2RhN4 (PBE, optimized geometry); electronic total energy = -148.77 eV per cell; spin magnetization = 0.0 μB per cell; uncorrected formation energy = -1270.2 meV/atom
1.0
1.750 -5.716 0.000
1.750 5.716 0.000
0.000 0.000 11.730
Ho Pa Rh N
2 4 2 8
direct
0.107 0.893 0.750
0.893 0.107 0.250
0.370 0.630 0.564
0.370 0.630 0.936
0.630 0.370 0.064
0.630 0.370 0.436
0.156 0.844 0.250
0.844 0.156 0.750
0.000 0.000 0.000
0.000 0.000 0.500
0.272 0.728 0.101
0.272 0.728 0.399
0.474 0.526 0.750
0.526 0.474 0.250
0.728 0.272 0.601
0.728 0.272 0.899

---

Record 19
EuTiAu2 (PBE, optimized geometry); electronic total energy = -26.61 eV per cell; spin magnetization = 6.4 μB per cell; calculated formation energy = -0.472 eV/atom
1.0
3.386 0.000 0.000
0.000 3.386 0.000
0.000 0.000 7.394
Eu Ti Au
1 1 2
direct
0.000 0.000 0.000
0.000 0.000 0.500
0.500 0.500 0.299
0.500 0.500 0.701

---

Record 20
KLiSnAu (PBE, optimized geometry); electronic total energy = -23.68 eV per cell; spin magnetization = 0.0 μB per cell; calculated formation energy = -0.387 eV/atom
1.0
8.255 0.000 0.000
0.000 4.776 0.000
-2.746 0.000 6.027
K Li Sn Au
2 2 2 2
direct
0.000 0.000 0.000
0.500 0.500 0.000
0.319 0.500 0.458
0.819 0.000 0.458
0.017 0.500 0.551
0.517 0.000 0.551
0.185 0.000 0.557
0.685 0.500 0.557

---

Record 21
RbTl2Cl2 (PBE, optimized geometry); electronic total energy = -27.62 eV per cell; spin magnetization = 0.0 μB per cell; uncorrected formation energy = -883.5 meV/atom
1.0
8.423 0.000 0.000
0.000 8.423 0.000
0.000 0.000 4.946
Rb Tl Cl
2 4 4
direct
0.000 0.000 0.000
0.500 0.500 0.000
0.158 0.342 0.500
0.342 0.842 0.500
0.658 0.158 0.500
0.842 0.658 0.500
0.160 0.660 0.000
0.340 0.160 0.000
0.660 0.840 0.000
0.840 0.340 0.000

---

Record 22
Zn2CrMo (PBE, optimized geometry); polymorph energy (0 for the lowest one) = 51 meV/atom; electronic total energy = -22.26 eV per cell; spin magnetization = 0.0 μB per cell; calculated formation energy = 0.185 eV/atom
1.0
2.579 0.000 0.000
0.000 4.267 0.000
-0.882 0.000 5.047
Zn Cr Mo
2 1 1
direct
0.030 0.000 0.258
0.970 0.000 0.742
0.500 0.500 0.500
0.500 0.500 0.000

---

Record 23
AcYCu (PBE, optimized geometry); electronic total energy = -29.68 eV per cell; spin magnetization = 0.0 μB per cell; calculated formation energy = -0.058 eV/atom
1.0
3.690 0.000 0.000
0.000 3.690 0.000
0.000 0.000 12.819
Ac Y Cu
2 2 2
direct
0.000 0.000 0.000
0.500 0.500 0.500
0.000 0.000 0.275
0.500 0.500 0.775
0.000 0.000 0.665
0.500 0.500 0.165

---

Record 24
BeNb2Cd (PBE, optimized geometry); polymorph energy (0 for the lowest one) = 283 meV/atom; electronic total energy = -87.53 eV per cell; spin magnetization = 0.0 μB per cell; calculated formation energy = 0.724 eV/atom
1.0
3.790 0.000 0.000
0.000 3.790 0.000
0.000 0.000 20.307
Be Nb Cd
4 8 4
direct
0.000 0.000 0.000
0.000 0.500 0.250
0.500 0.000 0.750
0.500 0.500 0.500
0.241 0.250 0.125
0.250 0.741 0.375
0.250 0.759 0.875
0.259 0.250 0.625
0.741 0.750 0.625
0.750 0.241 0.875
0.750 0.259 0.375
0.759 0.750 0.125
0.000 0.000 0.500
0.000 0.500 0.750
0.500 0.000 0.250
0.500 0.500 0.000

---

Record 25
Zn2AsPd5 (PBE, optimized geometry); electronic total energy = -73.75 eV per cell; spin magnetization = 0.0 μB per cell; calculated formation energy = -0.464 eV/atom
1.0
5.576 0.000 0.000
0.000 10.570 0.000
0.000 0.000 4.091
Zn As Pd
4 2 10
direct
0.137 0.150 0.000
0.363 0.650 0.000
0.637 0.350 0.000
0.863 0.850 0.000
0.000 0.500 0.500
0.500 0.000 0.500
0.000 0.000 0.500
0.104 0.730 0.500
0.181 0.399 0.000
0.319 0.899 0.000
0.396 0.230 0.500
0.500 0.500 0.500
0.604 0.770 0.500
0.681 0.101 0.000
0.819 0.601 0.000
0.896 0.270 0.500